Here is a relaxed structure of SrIn2Cl from Alexandria via LeMat-Bulk. Energies are from PBE.

Lattice parameters (Å, degrees): 4.2588 4.2588 14.2495 81.41 81.41 90.00
Atoms (fractional coordinates):
Sr 0.0000 0.0000 0.0000
Sr 0.7500 0.2500 0.5000
Cl 0.5000 0.5000 0.0000
Cl 0.2500 0.7500 0.5000
In 0.6315 0.1250 0.2500
In 0.1185 0.6250 0.2500
In 0.3750 0.3685 0.7500
In 0.8750 0.8815 0.7500

Computed properties:
The uncorrected formation energy comes out at -798.1 meV per atom. The polymorph energy (0 for the lowest one) comes out at 0.0219 eV/atom.